Entry 1:
Cu2SiAu at its PBEsol-relaxed geometry. Source: the Alexandria database, functional SCAN.

Cell lengths 3.175, 3.175, 5.316 Å; angles 90.00, 90.00, 90.00 degrees
Atoms (fractional coordinates):
Cu 0.000 0.000 0.000
Cu 0.500 0.500 0.219
Si 0.500 0.500 0.766
Au 0.000 0.000 0.498

Results
E_tot	-27.365	eV per atom
uncorrected formation energy	27.7	meV per atom
Fermi-level density of states	1.060	states/eV per cell


Entry 2:
KTiMnHg2 at its PBEsol-relaxed geometry. Source: the Alexandria database, functional SCAN.

Cell lengths 5.407, 5.407, 4.415 Å; angles 90.00, 90.00, 90.00 degrees
Atoms (fractional coordinates):
K 0.000 0.000 0.000
Ti 0.500 0.500 0.500
Mn 0.500 0.500 0.000
Hg 0.000 0.500 0.500
Hg 0.500 0.000 0.500

Results
E_tot	-35.537	eV per atom
Fermi-level density of states	2.862	states/eV per cell
energy relative to the elements	1.26	eV per formula unit


Entry 3:
Fe2PtRh at its PBEsol-relaxed geometry. Source: the Alexandria database, functional SCAN.

Cell lengths 2.781, 2.781, 6.694 Å; angles 90.00, 90.00, 90.00 degrees
Atoms (fractional coordinates):
Fe 0.000 0.000 0.000
Fe 0.500 0.500 0.219
Pt 0.000 0.000 0.471
Rh 0.500 0.500 0.768

Results
E_tot	-35.263	eV per atom
Fermi-level density of states	2.043	states/eV per cell
energy relative to the elements	-0.83	eV per formula unit


Entry 4:
Sr2Au at its PBEsol-relaxed geometry. Source: the Alexandria database, functional SCAN.

Cell lengths 10.452, 10.452, 10.452 Å; angles 60.00, 60.00, 60.00 degrees
Atoms (fractional coordinates):
Sr 0.000 0.000 0.000
Sr 0.000 0.000 0.500
Sr 0.000 0.500 0.000
Sr 0.183 0.183 0.567
Sr 0.183 0.567 0.183
Sr 0.183 0.567 0.567
Sr 0.433 0.433 0.817
Sr 0.433 0.817 0.433
Sr 0.433 0.817 0.817
Sr 0.500 0.000 0.000
Sr 0.567 0.183 0.183
Sr 0.567 0.183 0.567
Sr 0.567 0.567 0.183
Sr 0.817 0.433 0.433
Sr 0.817 0.433 0.817
Sr 0.817 0.817 0.433
Au 0.181 0.773 0.773
Au 0.227 0.227 0.227
Au 0.227 0.227 0.819
Au 0.227 0.819 0.227
Au 0.773 0.181 0.773
Au 0.773 0.773 0.181
Au 0.773 0.773 0.773
Au 0.819 0.227 0.227

Results
E_tot	-38.476	eV per atom
Fermi-level density of states	17.808	states/eV per cell
energy relative to the elements	-1.72	eV per formula unit


Entry 5:
Ba2HgSe2 at its PBEsol-relaxed geometry. Source: the Alexandria database, functional SCAN.

Cell lengths 8.900, 8.900, 4.084 Å; angles 90.00, 90.00, 90.00 degrees
Atoms (fractional coordinates):
Ba 0.146 0.354 0.000
Ba 0.354 0.854 0.000
Ba 0.646 0.146 0.000
Ba 0.854 0.646 0.000
Hg 0.000 0.000 0.000
Hg 0.500 0.500 0.000
Se 0.155 0.655 0.500
Se 0.345 0.155 0.500
Se 0.655 0.845 0.500
Se 0.845 0.345 0.500

Results
E_tot	-39.161	eV per atom
uncorrected formation energy	-1676.5	meV per atom
Fermi-level density of states	0.000	states/eV per cell


Entry 6:
CeAl3Cu at its PBEsol-relaxed geometry. Source: the Alexandria database, functional SCAN.

Cell lengths 5.994, 5.994, 5.994 Å; angles 139.04, 139.04, 59.32 degrees
Atoms (fractional coordinates):
Ce 0.000 0.000 0.000
Al 0.250 0.750 0.500
Al 0.590 0.590 0.000
Al 0.750 0.250 0.500
Cu 0.366 0.366 0.000

Results
E_tot	-17.089	eV per atom
excess energy over the best structure of this formula in the dataset	0.0000	eV/atom
Fermi-level density of states	4.028	states/eV per cell
energy relative to the elements	-2.43	eV per formula unit


Entry 7:
CsSbI2N at its PBEsol-relaxed geometry. Source: the Alexandria database, functional SCAN.

Cell lengths 6.694, 6.694, 4.427 Å; angles 90.00, 90.00, 90.00 degrees
Atoms (fractional coordinates):
Cs 0.000 0.000 0.000
Sb 0.500 0.500 0.500
I 0.000 0.500 0.000
I 0.500 0.000 0.000
N 0.000 0.000 0.500

Results
E_tot	-30.264	eV per atom
uncorrected formation energy	1305.0	meV per atom
Fermi-level density of states	4.619	states/eV per cell


Entry 8:
Li6Fe3Co3O16 at its PBEsol-relaxed geometry. Source: the Alexandria database, functional SCAN.

Cell lengths 5.552, 5.552, 9.690 Å; angles 90.59, 90.59, 59.85 degrees
Atoms (fractional coordinates):
Li 0.000 0.000 0.000
Li 0.001 0.001 0.394
Li 0.333 0.333 0.498
Li 0.337 0.337 0.898
Li 0.671 0.671 0.397
Li 0.675 0.675 0.900
Fe 0.329 0.838 0.682
Fe 0.491 0.491 0.181
Fe 0.838 0.329 0.682
Co 0.003 0.496 0.181
Co 0.496 0.003 0.181
Co 0.839 0.839 0.680
O 0.004 0.004 0.788
O 0.152 0.152 0.573
O 0.157 0.697 0.574
O 0.179 0.636 0.072
O 0.181 0.181 0.076
O 0.334 0.334 0.289
O 0.354 0.821 0.281
O 0.512 0.982 0.780
O 0.513 0.513 0.785
O 0.636 0.179 0.072
O 0.662 0.662 0.086
O 0.669 0.669 0.584
O 0.697 0.157 0.574
O 0.821 0.354 0.281
O 0.824 0.824 0.280
O 0.982 0.512 0.780

Results
E_tot	-9.482	eV per atom
uncorrected formation energy	-1612.6	meV per atom
Fermi-level density of states	3.406	states/eV per cell


Entry 9:
La5Ag4 at its PBEsol-relaxed geometry. Source: the Alexandria database, functional SCAN.

Cell lengths 9.063, 9.063, 7.097 Å; angles 90.00, 90.00, 120.00 degrees
Atoms (fractional coordinates):
La 0.000 0.277 0.250
La 0.000 0.723 0.750
La 0.277 0.000 0.250
La 0.277 0.277 0.750
La 0.333 0.667 0.000
La 0.333 0.667 0.500
La 0.667 0.333 0.000
La 0.667 0.333 0.500
La 0.723 0.000 0.750
La 0.723 0.723 0.250
Ag 0.000 0.000 0.000
Ag 0.000 0.000 0.500
Ag 0.000 0.384 0.750
Ag 0.000 0.616 0.250
Ag 0.384 0.000 0.750
Ag 0.384 0.384 0.250
Ag 0.616 0.000 0.250
Ag 0.616 0.616 0.750

Results
E_tot	-38.089	eV per atom
Fermi-level density of states	19.515	states/eV per cell
energy relative to the elements	-1.81	eV per formula unit


Entry 10:
Hf2GaSb3 at its PBEsol-relaxed geometry. Source: the Alexandria database, functional SCAN.

Cell lengths 3.878, 3.878, 8.579 Å; angles 90.00, 90.00, 90.00 degrees
Atoms (fractional coordinates):
Hf 0.000 0.500 0.240
Hf 0.500 0.000 0.760
Ga 0.000 0.000 0.500
Sb 0.000 0.500 0.885
Sb 0.500 0.000 0.115
Sb 0.500 0.500 0.500

Results
E_tot	-42.741	eV per atom
uncorrected formation energy	-495.4	meV per atom
Fermi-level density of states	2.029	states/eV per cell


Entry 11:
MgCr2Os at its PBEsol-relaxed geometry. Source: the Alexandria database, functional SCAN.

Cell lengths 4.678, 4.678, 4.678 Å; angles 133.75, 133.75, 67.48 degrees
Atoms (fractional coordinates):
Mg 0.000 0.000 0.000
Cr 0.250 0.750 0.500
Cr 0.750 0.250 0.500
Os 0.500 0.500 0.000

Results
E_tot	-27.943	eV per atom
Fermi-level density of states	4.538	states/eV per cell
energy relative to the elements	1.85	eV per formula unit


Entry 12:
Cr2SiMo at its PBEsol-relaxed geometry. Source: the Alexandria database, functional SCAN.

Cell lengths 4.028, 4.028, 3.061 Å; angles 90.00, 90.00, 90.00 degrees
Atoms (fractional coordinates):
Cr 0.000 0.500 0.000
Cr 0.500 0.000 0.000
Si 0.000 0.000 0.500
Mo 0.500 0.500 0.500

Results
E_tot	-20.604	eV per atom
uncorrected formation energy	-186.0	meV per atom
Fermi-level density of states	1.377	states/eV per cell


Number 12 is which compound? Cr2SiMo


Repeat the seventh record exactly.
CsSbI2N at its PBEsol-relaxed geometry. Source: the Alexandria database, functional SCAN.

Cell lengths 6.694, 6.694, 4.427 Å; angles 90.00, 90.00, 90.00 degrees
Atoms (fractional coordinates):
Cs 0.000 0.000 0.000
Sb 0.500 0.500 0.500
I 0.000 0.500 0.000
I 0.500 0.000 0.000
N 0.000 0.000 0.500

Results
E_tot	-30.264	eV per atom
uncorrected formation energy	1305.0	meV per atom
Fermi-level density of states	4.619	states/eV per cell


Among the records above, which one has the lowest Fermi-level density of states? Ba2HgSe2